The following is a PBE-GGA calculation of crystalline PmSmMg at its relaxed geometry, from the Alexandria database.

Cell: 3.7357 3.7357 13.2285 Å, 90.00 90.00 90.00°
With the nearest neighbours (Å) after each atom.
Space group I4mm (No. 107)
Inequivalent atoms, fractional coordinates:
Pm1 0.0000 0.0000 0.0000 (multiplicity 2)  4 Mg 3.37, 4 Sm 3.60, 4 Pm 3.74
Sm1 0.0000 0.0000 0.3153 (multiplicity 2)  4 Mg 3.36, 4 Pm 3.60, 4 Sm 3.74
Mg1 0.0000 0.0000 0.6582 (multiplicity 2)  4 Sm 3.36, 4 Pm 3.37, 4 Mg 3.74

Results
D(E_F)	4.4	states/eV/f.u.
density	5.75	g/cm3
ΔE_f	-0.052	eV per atom